An optimized crystal structure of SrZnSiO4, computed with PBE.

Computed properties:
The raw formation energy comes out at -2.45 eV per atom. The value obtained for the total magnetization is 0.0000 μB per atom. For the total energy, the calculation gives -6.48 eV/atom.

Structure (CIF):
```
data_SrZnSiO4
_cell_length_a 5.691
_cell_length_b 5.691
_cell_length_c 6.401
_cell_angle_alpha 90.00
_cell_angle_beta 90.00
_cell_angle_gamma 111.95
_space_group_name_H-M_alt 'P 1'
_space_group_IT_number 1
loop_
_space_group_symop_operation_xyz
'x,y,z'
loop_
_atom_site_label
_atom_site_fract_x
_atom_site_fract_y
_atom_site_fract_z
Sr1 0.000 0.000 0.000
Sr2 0.000 0.000 0.500
Zn1 0.349 0.651 0.750
Zn2 0.651 0.349 0.250
Si1 0.365 0.635 0.250
Si2 0.635 0.365 0.750
O1 0.266 0.734 0.036
O2 0.266 0.734 0.464
O3 0.272 0.320 0.250
O4 0.320 0.272 0.750
O5 0.680 0.728 0.250
O6 0.728 0.680 0.750
O7 0.734 0.266 0.536
O8 0.734 0.266 0.964
```

An optimized crystal structure of SrZrSi2O8, computed with PBE.

Computed properties:
The raw formation energy comes out at -2.56 eV per atom. The value obtained for the total magnetization is 0.1637 μB per atom. For the total energy, the calculation gives -7.62 eV/atom.

Structure (CIF):
```
data_SrZrSi2O8
_cell_length_a 5.472
_cell_length_b 5.472
_cell_length_c 7.098
_cell_angle_alpha 90.00
_cell_angle_beta 90.00
_cell_angle_gamma 120.00
_space_group_name_H-M_alt 'P 1'
_space_group_IT_number 1
loop_
_space_group_symop_operation_xyz
'x,y,z'
loop_
_atom_site_label
_atom_site_fract_x
_atom_site_fract_y
_atom_site_fract_z
Sr1 0.000 0.000 0.000
Zr1 0.000 0.000 0.500
Si1 0.333 0.667 0.243
Si2 0.667 0.333 0.757
O1 0.170 0.339 0.311
O2 0.170 0.830 0.311
O3 0.333 0.667 0.009
O4 0.339 0.170 0.689
O5 0.661 0.830 0.311
O6 0.667 0.333 0.991
O7 0.830 0.170 0.689
O8 0.830 0.661 0.689
```

An optimized crystal structure of TaSiO2, computed with PBE.

Computed properties:
The raw formation energy comes out at -1.19 eV per atom. The value obtained for the total magnetization is 0.0000 μB per atom. For the total energy, the calculation gives -7.98 eV/atom.

Structure (CIF):
```
data_TaSiO2
_cell_length_a 2.803
_cell_length_b 2.803
_cell_length_c 20.017
_cell_angle_alpha 90.00
_cell_angle_beta 90.00
_cell_angle_gamma 120.00
_space_group_name_H-M_alt 'P 1'
_space_group_IT_number 1
loop_
_space_group_symop_operation_xyz
'x,y,z'
loop_
_atom_site_label
_atom_site_fract_x
_atom_site_fract_y
_atom_site_fract_z
Ta1 0.000 0.000 0.000
Ta2 0.333 0.667 0.667
Ta3 0.667 0.333 0.333
Si1 0.000 0.000 0.500
Si2 0.333 0.667 0.167
Si3 0.667 0.333 0.833
O1 0.000 0.000 0.122
O2 0.000 0.000 0.878
O3 0.333 0.667 0.545
O4 0.333 0.667 0.789
O5 0.667 0.333 0.211
O6 0.667 0.333 0.455
```

An optimized crystal structure of TaSiO2, computed with PBE.

Computed properties:
The raw formation energy comes out at -1.01 eV per atom. The value obtained for the total magnetization is 0.0000 μB per atom. For the total energy, the calculation gives -7.81 eV/atom.

Structure (CIF):
```
data_TaSiO2
_cell_length_a 6.101
_cell_length_b 6.101
_cell_length_c 8.748
_cell_angle_alpha 90.00
_cell_angle_beta 90.00
_cell_angle_gamma 90.00
_space_group_name_H-M_alt 'P 1'
_space_group_IT_number 1
loop_
_space_group_symop_operation_xyz
'x,y,z'
loop_
_atom_site_label
_atom_site_fract_x
_atom_site_fract_y
_atom_site_fract_z
Ta1 0.000 0.000 0.000
Ta2 0.000 0.500 0.250
Ta3 0.500 0.000 0.750
Ta4 0.500 0.500 0.500
Si1 0.000 0.000 0.500
Si2 0.000 0.500 0.750
Si3 0.500 0.000 0.250
Si4 0.500 0.500 0.000
O1 0.001 0.750 0.125
O2 0.250 0.001 0.875
O3 0.250 0.499 0.375
O4 0.499 0.750 0.625
O5 0.501 0.250 0.625
O6 0.750 0.501 0.375
O7 0.750 0.999 0.875
O8 0.999 0.250 0.125
```

An optimized crystal structure of Ta2SiO, computed with PBE.

Computed properties:
The raw formation energy comes out at -0.33 eV per atom. The value obtained for the total magnetization is 0.0000 μB per atom. As for the energy above the most stable polymorph in this dataset: 0.029 eV per atom. For the total energy, the calculation gives -8.85 eV/atom.

Structure (CIF):
```
data_Ta2SiO
_cell_length_a 4.907
_cell_length_b 4.907
_cell_length_c 11.704
_cell_angle_alpha 90.00
_cell_angle_beta 90.00
_cell_angle_gamma 90.00
_space_group_name_H-M_alt 'P 1'
_space_group_IT_number 1
loop_
_space_group_symop_operation_xyz
'x,y,z'
loop_
_atom_site_label
_atom_site_fract_x
_atom_site_fract_y
_atom_site_fract_z
Ta1 0.158 0.250 0.125
Ta2 0.250 0.658 0.375
Ta3 0.250 0.842 0.875
Ta4 0.342 0.250 0.625
Ta5 0.658 0.750 0.625
Ta6 0.750 0.158 0.875
Ta7 0.750 0.342 0.375
Ta8 0.842 0.750 0.125
Si1 0.000 0.000 0.500
Si2 0.000 0.500 0.750
Si3 0.500 0.000 0.250
Si4 0.500 0.500 0.000
O1 0.000 0.000 0.000
O2 0.000 0.500 0.250
O3 0.500 0.000 0.750
O4 0.500 0.500 0.500
```

An optimized crystal structure of Ta2SiO, computed with PBE.

Computed properties:
The raw formation energy comes out at -0.36 eV per atom. The value obtained for the total magnetization is 0.0000 μB per atom. As for the energy above the most stable polymorph in this dataset: 0.000 eV per atom. For the total energy, the calculation gives -8.88 eV/atom.

Structure (CIF):
```
data_Ta2SiO
_cell_length_a 6.070
_cell_length_b 6.070
_cell_length_c 6.070
_cell_angle_alpha 90.00
_cell_angle_beta 90.00
_cell_angle_gamma 90.00
_space_group_name_H-M_alt 'P 1'
_space_group_IT_number 1
loop_
_space_group_symop_operation_xyz
'x,y,z'
loop_
_atom_site_label
_atom_site_fract_x
_atom_site_fract_y
_atom_site_fract_z
Ta1 0.250 0.250 0.250
Ta2 0.250 0.250 0.750
Ta3 0.250 0.750 0.250
Ta4 0.250 0.750 0.750
Ta5 0.750 0.250 0.250
Ta6 0.750 0.250 0.750
Ta7 0.750 0.750 0.250
Ta8 0.750 0.750 0.750
Si1 0.000 0.000 0.000
Si2 0.000 0.500 0.500
Si3 0.500 0.000 0.500
Si4 0.500 0.500 0.000
O1 0.000 0.000 0.500
O2 0.000 0.500 0.000
O3 0.500 0.000 0.000
O4 0.500 0.500 0.500
```